The following is a DFT calculation (PBE) of crystalline CuMo3 at its relaxed geometry.

a b c (Å): 8.9055 8.9055 2.6346
angles (deg): 90.00 90.00 120.00
Space group R-3m (No. 166, hexagonal axes)
Symmetry-distinct sites (fractional):
Cu1 0.0000 0.0000 0.0000 [3 per cell]
Mo1 0.0000 0.5000 0.0000 [9 per cell]

Computed properties:
* ΔH_f (0 K): 0.200 eV/atom
* D(E_F): 0.900 states/eV per atom

=====

The following is a DFT calculation (PBE) of crystalline CuMo7 at its relaxed geometry.

a b c (Å): 7.926 7.926 7.926
angles (deg): 90.00 90.00 90.00
Space group Fm-3m (No. 225)
Symmetry-distinct sites (fractional):
Cu1 0.000 0.000 0.000 [4 per cell]
Mo1 0.000 0.000 0.500 [4 per cell]
Mo2 0.000 0.250 0.250 [24 per cell]

Computed properties:
* ΔH_f (0 K): 0.308 eV/atom
* D(E_F): 1.009 states/eV per atom

=====

The following is a DFT calculation (PBE) of crystalline CuMo at its relaxed geometry.

a b c (Å): 2.7091 2.7091 9.0459
angles (deg): 90.00 90.00 120.00
Space group P-3m1 (No. 164)
Symmetry-distinct sites (fractional):
Cu1 0.3333 0.6667 0.3859 [2 per cell]
Mo1 0.3333 0.6667 0.8638 [2 per cell]

Computed properties:
* ΔH_f (0 K): 0.291 eV/atom
* D(E_F): 0.977 states/eV per atom

=====

The following is a DFT calculation (PBE) of crystalline CuMo at its relaxed geometry.

a b c (Å): 2.542 10.347 4.259
angles (deg): 90.00 90.00 90.00
Space group Cmcm (No. 63)
Symmetry-distinct sites (fractional):
Cu1 0.000 0.060 0.250 [4 per cell]
Mo1 0.000 0.320 0.250 [4 per cell]

Computed properties:
* ΔH_f (0 K): 0.200 eV/atom
* D(E_F): 0.631 states/eV per atom

=====

The highest ΔH_f (0 K) belongs to which entry?
CuMo7